Density functional theory data (PBE-GGA) for an optimized crystal structure of RbCaCdIr2.

Unit cell a=5.1341 b=5.4186 c=5.1341 alpha=90.00 beta=90.00 gamma=90.00
Fractional coordinates of all 5 atoms:
Ir  0.0000  0.0000  0.5000
Ca  0.0000  0.5000  0.0000
Rb  0.5000  0.5000  0.5000
Cd  0.0000  0.0000  0.0000
Ir  0.5000  0.0000  0.0000

Results
For the formation energy from the elements, the calculation gives 1041 meV per atom. As for the crystal system: tetragonal. As for the calculated volume: 28.6 Å³/atom. As for the space-group type: P4/mmm, No. 123. Its total moment is 0.00 μB per formula unit.